(1)
# BrOF (PBE, relaxed)
# energy relative to the elements, uncorrected = -29.8 kJ per mole of atoms
# ΔE to the lowest computed polymorph = 0.000 eV/atom
# density of states at the Fermi level = 0.00 states/eV/cell
# V = 17.60 A^3/atom
data_BrOF
_chemical_formula_sum 'Br4 O4 F4'
_cell_length_a 5.6775
_cell_length_b 4.4123
_cell_length_c 9.8904
_cell_angle_alpha 90.00
_cell_angle_beta 121.50
_cell_angle_gamma 90.00
_space_group_name_H-M_alt 'P 1 21/c 1'
_space_group_IT_number 14
_space_group_name_Hall '-P 2ybc'
loop_
_atom_site_label
_atom_site_fract_x
_atom_site_fract_y
_atom_site_fract_z
Br1 0.2266 0.0122 0.2638
O1 0.0682 0.1768 0.3582
F1 0.4570 0.6885 0.6385

=====

(2)
# LaGaPbAu (PBE, relaxed)
# density of states at the Fermi level = 9.03 states/eV/cell
# formation energy = -0.49 eV per atom
# V = 25.10 A^3/atom
data_LaGaPbAu
_chemical_formula_sum 'La4 Ga4 Pb4 Au4'
_cell_length_a 7.3778
_cell_length_b 7.3778
_cell_length_c 7.3778
_cell_angle_alpha 90.00
_cell_angle_beta 90.00
_cell_angle_gamma 90.00
_space_group_name_H-M_alt 'F -4 3 m'
_space_group_IT_number 216
_space_group_name_Hall 'F -4 2 3'
loop_
_atom_site_label
_atom_site_fract_x
_atom_site_fract_y
_atom_site_fract_z
La1 0.0000 0.0000 0.0000
Ga1 0.2500 0.2500 0.7500
Pb1 0.0000 0.0000 0.5000
Au1 0.2500 0.2500 0.2500

=====

(3)
# CaPu2BeN4 (PBE, relaxed)
# energy relative to the elements, uncorrected = -110.4 kJ per mole of atoms
# density of states at the Fermi level = 40.00 states/eV/cell
# V = 13.39 A^3/atom
data_CaPu2BeN4
_chemical_formula_sum 'Ca4 Pu8 Be4 N16'
_cell_length_a 3.4322
_cell_length_b 11.2800
_cell_length_c 11.0637
_cell_angle_alpha 90.00
_cell_angle_beta 90.00
_cell_angle_gamma 90.00
_space_group_name_H-M_alt 'C m c m'
_space_group_IT_number 63
_space_group_name_Hall '-C 2c 2'
loop_
_atom_site_label
_atom_site_fract_x
_atom_site_fract_y
_atom_site_fract_z
Ca1 0.0000 0.0984 0.2500
Pu1 0.0000 0.3688 0.0561
Be1 0.0000 0.1827 0.7500
N1 0.0000 0.0000 0.0000
N2 0.0000 0.2587 0.6199
N3 0.0000 0.4182 0.2500

=====

(4)
# KAcPm2Te4 (PBE, relaxed)
# energy relative to the elements, uncorrected = -137.4 kJ per mole of atoms
# density of states at the Fermi level = 3.07 states/eV/cell
# V = 35.15 A^3/atom
data_KAcPm2Te4
_chemical_formula_sum 'K1 Ac1 Pm2 Te4'
_cell_length_a 7.9706
_cell_length_b 4.5513
_cell_length_c 8.1697
_cell_angle_alpha 90.00
_cell_angle_beta 108.42
_cell_angle_gamma 90.00
_space_group_name_H-M_alt 'P 1 2/m 1'
_space_group_IT_number 10
_space_group_name_Hall '-P 2y'
loop_
_atom_site_label
_atom_site_fract_x
_atom_site_fract_y
_atom_site_fract_z
K1 0.0000 0.0000 0.0000
Ac1 0.5000 0.5000 0.0000
Pm1 0.0000 0.5000 0.5000
Pm2 0.5000 0.0000 0.5000
Te1 0.2452 0.0000 0.7333
Te2 0.2603 0.5000 0.2707